1.
Material: Tb12PrSm6
Method: DFT, GGA-PBE
State: relaxed

extended XYZ file:
```
19
Lattice="8.374 0.000 2.685 -4.170 7.822 3.406 0.034 0.000 9.496" Properties=species:S:1:pos:R:3 pbc="T T T"
Tb -0.652 2.885 2.037
Tb 3.769 4.527 7.451
Tb 3.114 7.412 9.488
Tb 5.540 2.061 11.511
Tb 0.470 3.295 8.134
Tb 2.214 0.824 2.710
Tb 2.024 6.998 12.876
Tb 0.900 6.585 6.780
Tb 4.890 4.937 13.549
Tb -1.301 5.761 4.075
Tb 3.338 1.237 8.806
Tb 1.124 0.410 6.098
Sm 6.629 2.465 8.126
Sm -2.391 5.357 7.460
Sm 4.424 1.641 5.402
Sm -0.186 6.181 10.184
Sm 2.681 4.106 10.844
Sm 1.557 3.716 4.742
Pr 0.000 0.000 0.000
```

E_form: 0.014 eV/atom
uncorrected energy: -88.4 eV per formula unit
total magnetization: 0.0 μB/f.u.
E above lowest polymorph: 0 meV/atom
DOS at the Fermi energy: 1.306 states/eV/atom


2.
Material: KTmCd
Method: DFT, GGA-PBE
State: relaxed

extended XYZ file:
```
6
Lattice="3.682 0.000 0.000 -1.841 3.198 0.000 0.000 0.000 17.804" Properties=species:S:1:pos:R:3 pbc="T T T"
Tm 0.000 1.766 2.358
Tm 0.000 1.766 15.446
K 1.841 0.716 11.904
K 1.841 0.716 5.901
Cd 0.000 1.804 8.902
Cd 1.841 0.694 0.000
```

E_form: 0.197 eV/atom
uncorrected energy: -5.9 eV per formula unit
total magnetization: 0.0 μB/f.u.
DOS at the Fermi energy: 0.902 states/eV/atom


3.
Material: La2TbTc2C4
Method: DFT, GGA-PBE
State: relaxed

extended XYZ file:
```
9
Lattice="3.549 0.000 0.000 -1.775 7.012 0.348 0.000 -2.139 5.784" Properties=species:S:1:pos:R:3 pbc="T T T"
C 0.000 2.670 1.257
C 1.775 2.203 4.874
C 1.775 -0.900 4.499
C 0.000 5.773 1.632
La 1.775 4.152 2.983
La 0.000 0.721 3.149
Tc 1.775 2.511 0.159
Tc 0.000 2.361 5.972
Tb 0.000 0.000 0.000
```

E_form: -0.061 eV/atom
uncorrected energy: -72.7 eV per formula unit
total magnetization: 0.0 μB/f.u.
DOS at the Fermi energy: 0.687 states/eV/atom


4.
Material: SrEuGaAu
Method: DFT, GGA-PBE
State: relaxed

extended XYZ file:
```
4
Lattice="5.389 0.000 0.000 2.695 4.667 0.000 2.695 1.556 4.400" Properties=species:S:1:pos:R:3 pbc="T T T"
Sr 2.695 1.556 1.100
Eu 8.084 4.667 3.300
Ga 0.000 0.000 0.000
Au 5.389 3.111 2.200
```

E_form: -0.541 eV/atom
uncorrected energy: -20.4 eV per formula unit
total magnetization: 7.2 μB/f.u.
DOS at the Fermi energy: 1.854 states/eV/atom


5.
Material: Dy2HoGa6
Method: DFT, GGA-PBE
State: relaxed

extended XYZ file:
```
9
Lattice="4.298 0.000 0.000 0.000 6.956 0.000 -2.149 -3.478 6.680" Properties=species:S:1:pos:R:3 pbc="T T T"
Dy 0.000 0.000 1.678
Dy 2.149 3.478 5.002
Ga 2.149 1.328 0.000
Ga 0.000 -1.337 4.218
Ga 2.149 4.815 2.462
Ga 2.149 5.628 0.000
Ga 2.149 2.141 2.462
Ga 0.000 1.337 4.218
Ho 0.000 3.478 0.000
```

E_form: -0.458 eV/atom
uncorrected energy: -36.1 eV per formula unit
total magnetization: 0.0 μB/f.u.
E above lowest polymorph: 173 meV/atom
DOS at the Fermi energy: 0.531 states/eV/atom


6.
Material: AlCdAs2
Method: DFT, GGA-PBE
State: relaxed

extended XYZ file:
```
4
Lattice="4.852 0.000 0.000 2.426 4.202 0.000 2.426 1.401 3.961" Properties=species:S:1:pos:R:3 pbc="T T T"
As 7.278 4.202 2.971
As 0.000 0.000 0.000
Cd 2.426 1.401 0.990
Al 4.852 2.801 1.981
```

E_form: 0.312 eV/atom
uncorrected energy: -12.7 eV per formula unit
total magnetization: 0.0 μB/f.u.
E above lowest polymorph: 450 meV/atom
DOS at the Fermi energy: 0.623 states/eV/atom